# 1
# PBE-GGA CsAgGeTe3, optimized geometry
# Excess energy over the best structure of this formula in the dataset = 35 meV/atom
data_CsAgGeTe3
_chemical_formula_sum 'Cs4 Ag4 Ge4 Te12'
_cell_length_a 3.870
_cell_length_b 17.658
_cell_length_c 11.720
_cell_angle_alpha 90.00
_cell_angle_beta 90.00
_cell_angle_gamma 90.00
_space_group_name_H-M_alt 'C m c m'
_space_group_IT_number 63
_space_group_name_Hall '-C 2c 2'
loop_
_atom_site_label
_atom_site_type_symbol
_atom_site_fract_x
_atom_site_fract_y
_atom_site_fract_z
Cs1 Cs 0.000 0.243 0.250
Ag1 Ag 0.000 0.067 0.750
Ge1 Ge 0.000 0.500 0.000
Te1 Te 0.000 0.119 0.529
Te2 Te 0.000 0.449 0.750

=====

# 2
# PBE-GGA SmDySi2Os, optimized geometry
# Excess energy over the best structure of this formula in the dataset = 0 meV/atom
# Spin magnetization = 0.0 μB per formula unit
data_SmDySi2Os
_chemical_formula_sum 'Sm4 Dy4 Si8 Os4'
_cell_length_a 10.763
_cell_length_b 4.246
_cell_length_c 10.135
_cell_angle_alpha 90.00
_cell_angle_beta 119.08
_cell_angle_gamma 90.00
_space_group_name_H-M_alt 'C 1 2/m 1'
_space_group_IT_number 12
loop_
_space_group_symop_operation_xyz
'x,y,z'
'-x,-y,-z'
'-x,y,-z'
'x,-y,z'
'x+1/2,y+1/2,z'
'-x+1/2,-y+1/2,-z'
'-x+1/2,y+1/2,-z'
'x+1/2,-y+1/2,z'
loop_
_atom_site_label
_atom_site_type_symbol
_atom_site_fract_x
_atom_site_fract_y
_atom_site_fract_z
Sm1 Sm 0.188 0.000 0.111
Dy1 Dy 0.007 0.000 0.677
Si1 Si 0.001 0.500 0.873
Si2 Si 0.145 0.500 0.559
Os1 Os 0.230 0.500 0.375

=====

# 3
# PBE-GGA ZrBe2Bi, optimized geometry
# Spin magnetization = 0.4 μB per formula unit
# E = -68.20 eV/cell
data_ZrBe2Bi
_chemical_formula_sum 'Zr4 Be8 Bi4'
_cell_length_a 6.690
_cell_length_b 6.690
_cell_length_c 6.690
_cell_angle_alpha 90.00
_cell_angle_beta 90.00
_cell_angle_gamma 90.00
_space_group_name_H-M_alt 'F -4 3 m'
_space_group_IT_number 216
_space_group_name_Hall 'F -4 2 3'
loop_
_atom_site_label
_atom_site_type_symbol
_atom_site_fract_x
_atom_site_fract_y
_atom_site_fract_z
Zr1 Zr 0.000 0.000 0.000
Be1 Be 0.000 0.000 0.500
Be2 Be 0.250 0.250 0.250
Bi1 Bi 0.250 0.250 0.750

=====

# 4
# PBE-GGA Hf2TaMo2, optimized geometry
# Spin magnetization = 0.1 μB per formula unit
# E = -99.93 eV/cell
data_Hf2TaMo2
_chemical_formula_sum 'Hf4 Ta2 Mo4'
_cell_length_a 3.709
_cell_length_b 3.709
_cell_length_c 14.341
_cell_angle_alpha 90.00
_cell_angle_beta 90.00
_cell_angle_gamma 90.00
_space_group_name_H-M_alt 'I 4/m m m'
_space_group_IT_number 139
_space_group_name_Hall '-I 4 2'
loop_
_atom_site_label
_atom_site_type_symbol
_atom_site_fract_x
_atom_site_fract_y
_atom_site_fract_z
Hf1 Hf 0.000 0.000 0.100
Ta1 Ta 0.000 0.000 0.500
Mo1 Mo 0.000 0.500 0.250

=====

# 5
# PBE-GGA Gd2DyAl3Ni3, optimized geometry
# Spin magnetization = 0.0 μB per formula unit
# E = -94.41 eV/cell
data_Gd2DyAl3Ni3
_chemical_formula_sum 'Gd4 Dy2 Al6 Ni6'
_cell_length_a 3.960
_cell_length_b 12.020
_cell_length_c 6.924
_cell_angle_alpha 90.00
_cell_angle_beta 90.00
_cell_angle_gamma 90.00
_space_group_name_H-M_alt 'A m m 2'
_space_group_IT_number 38
loop_
_space_group_symop_operation_xyz
'x,y,z'
'-x,-y,z'
'-x,y,z'
'x,-y,z'
'x,y+1/2,z+1/2'
'-x,-y+1/2,z+1/2'
'-x,y+1/2,z+1/2'
'x,-y+1/2,z+1/2'
loop_
_atom_site_label
_atom_site_type_symbol
_atom_site_fract_x
_atom_site_fract_y
_atom_site_fract_z
Gd1 Gd 0.000 0.209 0.000
Dy1 Dy 0.000 0.000 0.625
Al1 Al 0.500 0.000 0.975
Al2 Al 0.500 0.116 0.326
Ni1 Ni 0.000 0.000 0.211
Ni2 Ni 0.500 0.165 0.708

=====

# 6
# PBE-GGA ErTcAsO, optimized geometry
# Excess energy over the best structure of this formula in the dataset = 466 meV/atom
# Spin magnetization = 0.4 μB per formula unit
data_ErTcAsO
_chemical_formula_sum 'Er2 Tc2 As2 O2'
_cell_length_a 4.383
_cell_length_b 4.612
_cell_length_c 6.321
_cell_angle_alpha 90.00
_cell_angle_beta 90.00
_cell_angle_gamma 90.00
_space_group_name_H-M_alt 'P m c 21'
_space_group_IT_number 26
loop_
_space_group_symop_operation_xyz
'x,y,z'
'-x,-y,z+1/2'
'-x,y,z'
'x,-y,z+1/2'
loop_
_atom_site_label
_atom_site_type_symbol
_atom_site_fract_x
_atom_site_fract_y
_atom_site_fract_z
Er1 Er 0.000 0.218 0.000
Tc1 Tc 0.500 0.362 0.338
As1 As 0.500 0.143 0.690
O1 O 0.000 0.365 0.331

=====

# 7
# PBE-GGA LiTaBIr, optimized geometry
# Excess energy over the best structure of this formula in the dataset = 117 meV/atom
# Spin magnetization = 0.0 μB per formula unit
data_LiTaBIr
_chemical_formula_sum 'Li4 Ta4 B4 Ir4'
_cell_length_a 5.722
_cell_length_b 5.722
_cell_length_c 5.722
_cell_angle_alpha 90.00
_cell_angle_beta 90.00
_cell_angle_gamma 90.00
_space_group_name_H-M_alt 'F -4 3 m'
_space_group_IT_number 216
_space_group_name_Hall 'F -4 2 3'
loop_
_atom_site_label
_atom_site_type_symbol
_atom_site_fract_x
_atom_site_fract_y
_atom_site_fract_z
Li1 Li 0.000 0.000 0.000
Ta1 Ta 0.250 0.250 0.250
B1 B 0.000 0.000 0.500
Ir1 Ir 0.250 0.250 0.750

=====

# 8
# PBE-GGA Nd2Y2CI4Cl, optimized geometry
# Excess energy over the best structure of this formula in the dataset = 0 meV/atom
# Spin magnetization = 0.0 μB per formula unit
data_Nd2Y2CI4Cl
_chemical_formula_sum 'Nd4 Y4 C2 I8 Cl2'
_cell_length_a 19.614
_cell_length_b 3.977
_cell_length_c 8.336
_cell_angle_alpha 90.00
_cell_angle_beta 101.72
_cell_angle_gamma 90.00
_space_group_name_H-M_alt 'C 1 2/m 1'
_space_group_IT_number 12
loop_
_space_group_symop_operation_xyz
'x,y,z'
'-x,-y,-z'
'-x,y,-z'
'x,-y,z'
'x+1/2,y+1/2,z'
'-x+1/2,-y+1/2,-z'
'-x+1/2,y+1/2,-z'
'x+1/2,-y+1/2,z'
loop_
_atom_site_label
_atom_site_type_symbol
_atom_site_fract_x
_atom_site_fract_y
_atom_site_fract_z
Nd1 Nd 0.001 0.000 0.289
Y1 Y 0.126 0.500 0.563
C1 C 0.000 0.500 0.500
I1 I 0.164 0.000 0.846
I2 I 0.169 0.000 0.320
Cl1 Cl 0.000 0.500 0.000

=====

# 9
# PBE-GGA KBeIrS3, optimized geometry
# Spin magnetization = 0.0 μB per formula unit
# E = -122.04 eV/cell
data_KBeIrS3
_chemical_formula_sum 'K4 Be4 Ir4 S12'
_cell_length_a 3.674
_cell_length_b 14.081
_cell_length_c 9.168
_cell_angle_alpha 90.00
_cell_angle_beta 90.00
_cell_angle_gamma 90.00
_space_group_name_H-M_alt 'C m c m'
_space_group_IT_number 63
_space_group_name_Hall '-C 2c 2'
loop_
_atom_site_label
_atom_site_type_symbol
_atom_site_fract_x
_atom_site_fract_y
_atom_site_fract_z
K1 K 0.000 0.248 0.250
Be1 Be 0.000 0.029 0.750
Ir1 Ir 0.000 0.500 0.000
S1 S 0.000 0.105 0.557
S2 S 0.000 0.439 0.750

=====

# 10
# PBE-GGA InSnAu, optimized geometry
# E = -21.15 eV/cell
data_InSnAu
_chemical_formula_sum 'In2 Sn2 Au2'
_cell_length_a 4.741
_cell_length_b 4.741
_cell_length_c 6.751
_cell_angle_alpha 90.00
_cell_angle_beta 90.00
_cell_angle_gamma 90.00
_space_group_name_H-M_alt 'P 42/m m c'
_space_group_IT_number 131
_space_group_name_Hall '-P 4c 2'
loop_
_atom_site_label
_atom_site_type_symbol
_atom_site_fract_x
_atom_site_fract_y
_atom_site_fract_z
In1 In 0.000 0.000 0.250
Sn1 Sn 0.500 0.500 0.250
Au1 Au 0.000 0.500 0.000

=====

# 11
# PBE-GGA PaBiO3, optimized geometry
# Spin magnetization = 1.0 μB per formula unit
# E = -228.97 eV/cell
data_PaBiO3
_chemical_formula_sum 'Pa6 Bi6 O18'
_cell_length_a 6.3605
_cell_length_b 6.3605
_cell_length_c 15.2650
_cell_angle_alpha 90.00
_cell_angle_beta 90.00
_cell_angle_gamma 120.00
_space_group_name_H-M_alt 'R -3'
_space_group_IT_number 148
_space_group_name_Hall '-R 3'
loop_
_atom_site_label
_atom_site_type_symbol
_atom_site_fract_x
_atom_site_fract_y
_atom_site_fract_z
Pa1 Pa 0.0000 0.0000 0.1621
Bi1 Bi 0.0000 0.0000 0.4004
O1 O 0.0050 0.6412 0.4273

=====

# 12
# PBE-GGA ScSi2Mo, optimized geometry
# Spin magnetization = 0.0 μB per formula unit
# E = -110.32 eV/cell
data_ScSi2Mo
_chemical_formula_sum 'Sc4 Si8 Mo4'
_cell_length_a 6.266
_cell_length_b 6.266
_cell_length_c 6.266
_cell_angle_alpha 90.00
_cell_angle_beta 90.00
_cell_angle_gamma 90.00
_space_group_name_H-M_alt 'F -4 3 m'
_space_group_IT_number 216
_space_group_name_Hall 'F -4 2 3'
loop_
_atom_site_label
_atom_site_type_symbol
_atom_site_fract_x
_atom_site_fract_y
_atom_site_fract_z
Sc1 Sc 0.000 0.000 0.000
Si1 Si 0.000 0.000 0.500
Si2 Si 0.250 0.250 0.750
Mo1 Mo 0.250 0.250 0.250